1.
CrGa3Rh: optimized geometry, PBE.

Results
For the total DFT energy (no corrections), the calculation gives -4.540 eV/atom. The calculation puts the size of the total moment at 2.2 μB per formula unit. The distance to the lowest polymorph of the same formula is 0.000 eV/atom. As for the space group: Pm-3m (221). For the formation enthalpy at 0 K, the calculation gives 0.671 eV/atom.

Cell lengths 4.5795, 4.5795, 4.5795 Å; angles 90.00, 90.00, 90.00 degrees
Last column: nearest neighbours and their distance in Å.
Element x y z (fractional)
Cr 0.0000 0.0000 0.0000  6 Ga 2.29
Ga 0.0000 0.0000 0.5000  2 Cr 2.29
Ga 0.0000 0.5000 0.0000  2 Cr 2.29
Ga 0.5000 0.0000 0.0000  2 Cr 2.29
Rh 0.5000 0.5000 0.5000  12 Ga 3.24

2.
CrGa2Rh2: optimized geometry, PBE.

Results
For the total DFT energy (no corrections), the calculation gives -6.247 eV/atom. The calculation puts the size of the total moment at 0.0 μB per formula unit. The distance to the lowest polymorph of the same formula is 0.000 eV/atom. As for the space group: P4/mbm (127). For the formation enthalpy at 0 K, the calculation gives -0.171 eV/atom.

Cell lengths 7.0870, 7.0870, 2.8394 Å; angles 90.00, 90.00, 90.00 degrees
Last column: nearest neighbours and their distance in Å.
Element x y z (fractional)
Cr 0.0000 0.0000 0.0000  4 Ga 2.75, 2 Cr 2.84, 8 Rh 3.01
Cr 0.5000 0.5000 0.0000  4 Ga 2.75, 2 Cr 2.84, 8 Rh 3.01
Ga 0.1363 0.3637 0.0000  6 Rh 2.45-2.57, 1 Ga 2.73
Ga 0.3637 0.8637 0.0000  6 Rh 2.45-2.57, 1 Ga 2.73
Ga 0.6363 0.1363 0.0000  6 Rh 2.45-2.57, 1 Ga 2.73
Ga 0.8637 0.6363 0.0000  6 Rh 2.45-2.57, 1 Ga 2.73
Rh 0.1640 0.6640 0.5000  6 Ga 2.45-2.57
Rh 0.3360 0.1640 0.5000  6 Ga 2.45-2.57
Rh 0.6640 0.8360 0.5000  6 Ga 2.45-2.57
Rh 0.8360 0.3360 0.5000  6 Ga 2.45-2.57

3.
Cr3GaRh: optimized geometry, PBE.

Results
For the total DFT energy (no corrections), the calculation gives -6.674 eV/atom. The calculation puts the size of the total moment at 10.6 μB per formula unit. The distance to the lowest polymorph of the same formula is 0.000 eV/atom. As for the space group: Pm-3m (221). For the formation enthalpy at 0 K, the calculation gives 1.176 eV/atom.

Cell lengths 4.7279, 4.7279, 4.7279 Å; angles 90.00, 90.00, 90.00 degrees
Last column: nearest neighbours and their distance in Å.
Element x y z (fractional)
Cr 0.0000 0.0000 0.5000  2 Rh 2.36
Cr 0.0000 0.5000 0.0000  2 Rh 2.36
Cr 0.5000 0.0000 0.0000  2 Rh 2.36
Ga 0.5000 0.5000 0.5000  12 Cr 3.34
Rh 0.0000 0.0000 0.0000  6 Cr 2.36

4.
CrGaRh2: optimized geometry, PBE.

Results
For the total DFT energy (no corrections), the calculation gives -6.615 eV/atom. The calculation puts the size of the total moment at 0.0 μB per formula unit. As for the space group: Immm (71). For the formation enthalpy at 0 K, the calculation gives 0.223 eV/atom.

Cell lengths 5.7395, 5.7395, 5.7395 Å; angles 153.02, 134.54, 53.67 degrees
Last column: nearest neighbours and their distance in Å.
Element x y z (fractional)
Cr 0.0000 0.0000 0.0000  2 Rh 2.25
Ga 0.5000 0.5000 0.0000  4 Cr 2.59, 2 Ga 2.68, 2 Rh 2.87
Rh 0.2194 0.2194 0.0000  1 Cr 2.25
Rh 0.7806 0.7806 0.0000  1 Cr 2.25